1 | 3
Lattice="3.649 0.000 0.000 0.000 3.649 0.000 -1.824 -1.824 5.097" Properties=species:S:1:pos:R:3 comment="ThGaAs PBE optimized geometry" sg="No. 107" magmom_total_mub_per_fu=0.000 pbc="T T T"
As 0.000 0.000 3.100
Th 1.824 1.824 1.237
Ga 1.824 1.824 4.328

=====

2 | 6
Lattice="-4.393 1.424 1.411 -1.687 -1.309 4.330 1.439 7.237 5.440" Properties=species:S:1:pos:R:3 comment="ThGaAs PBE optimized geometry" sg="No. 166" magmom_total_mub_per_fu=0.000 pbc="T T T"
Th -1.332 1.481 2.620
Th -3.309 5.871 8.561
As -1.068 6.277 6.865
As -3.573 1.074 4.316
Ga -4.565 3.262 7.283
Ga -0.076 4.090 3.899

=====

Best to worst by energy: 1, 2.

=====

1 | 4
Lattice="-2.536 -2.545 1.756 0.233 -3.915 -0.784 4.434 -3.079 6.494" Properties=species:S:1:pos:R:3 comment="Th2GaAs PBE optimized geometry" sg="No. 160" magmom_total_mub_per_fu=0.000 pbc="T T T"
Th 3.254 -2.869 5.095
Th 0.415 -2.364 1.727
Ga 1.073 -4.771 3.743
As 2.888 -7.384 7.130

=====

2 | 4
Lattice="-3.444 -1.732 -1.862 -1.020 -4.086 0.767 -5.459 0.078 5.104" Properties=species:S:1:pos:R:3 comment="Th2GaAs PBE optimized geometry" sg="No. 166" magmom_total_mub_per_fu=0.000 pbc="T T T"
As 0.000 0.000 0.000
Ga -4.961 -2.870 2.005
Th -7.447 -4.303 3.014
Th -2.476 -1.438 0.995

=====

Best to worst by energy: 2, 1.

=====

1 | 10
Lattice="-3.419 2.177 5.932 0.309 -6.679 2.629 2.938 0.701 1.436" Properties=species:S:1:pos:R:3 comment="Ti2GaAs2 PBE optimized geometry" sg="No. 127" magmom_total_mub_per_fu=0.000 pbc="T T T"
As -0.945 -4.931 4.342
As -2.719 -2.459 6.763
As -2.165 0.429 4.219
As -0.391 -2.043 1.798
Ga 0.000 0.000 0.000
Ga -1.555 -2.251 4.280
Ti 1.176 -3.637 3.264
Ti -0.468 -3.966 6.788
Ti -1.348 -0.164 6.733
Ti 0.296 0.165 3.209

=====

2 | 10
Lattice="-4.472 5.147 -1.725 -5.391 -3.947 2.197 0.313 1.331 3.159" Properties=species:S:1:pos:R:3 comment="Ti2GaAs2 PBE optimized geometry" sg="No. 127" magmom_total_mub_per_fu=0.000 pbc="T T T"
As -4.012 -1.129 2.749
As -7.333 0.650 2.328
As -5.538 3.660 0.882
As -2.217 1.881 1.303
Ga 0.000 0.000 0.000
Ga -4.932 0.600 0.236
Ti -6.161 -1.552 1.264
Ti -7.304 1.822 -0.044
Ti -3.702 2.752 -0.793
Ti -2.559 -0.622 0.516

=====

Best to worst by energy: 2, 1.

=====

1 | 8
Lattice="5.489 0.000 0.000 0.000 5.489 0.000 2.745 2.745 6.437" Properties=species:S:1:pos:R:3 comment="Ti2GaAs PBE optimized geometry" sg="No. 122" magmom_total_mub_per_fu=0.000 pbc="T T T"
As 0.000 0.000 0.000
As 5.489 2.745 3.219
Ga 2.745 2.745 0.000
Ga 2.745 5.489 3.219
Ti 4.136 1.372 1.609
Ti 1.353 4.117 1.609
Ti 4.117 4.098 4.828
Ti 6.861 6.880 4.828

=====

2 | 4
Lattice="3.433 0.000 0.000 1.716 2.973 0.000 1.716 0.991 6.981" Properties=species:S:1:pos:R:3 comment="Ti2GaAs PBE optimized geometry" sg="No. 160" magmom_total_mub_per_fu=0.000 pbc="T T T"
Ti 1.716 0.991 5.444
Ti 1.716 0.991 1.535
Ga 3.433 1.982 3.510
As 5.149 2.973 6.964

=====

3 | 4
Lattice="0.000 3.190 3.190 3.190 0.000 3.190 3.190 3.190 0.000" Properties=species:S:1:pos:R:3 comment="Ti2GaAs PBE optimized geometry" sg="No. 225" magmom_total_mub_per_fu=0.000 pbc="T T T"
As 3.190 3.190 3.190
Ga 0.000 0.000 0.000
Ti 1.595 1.595 1.595
Ti 4.785 4.785 4.785

=====

4 | 4
Lattice="-2.396 -2.580 0.732 -0.667 -2.573 -2.422 3.516 -5.229 1.918" Properties=species:S:1:pos:R:3 comment="Ti2GaAs PBE optimized geometry" sg="No. 166" magmom_total_mub_per_fu=0.000 pbc="T T T"
As 0.226 -5.191 0.114
Ga 0.000 0.000 0.000
Ti 0.298 -7.754 0.148
Ti 0.155 -2.628 0.080

=====

Best to worst by energy: 4, 2, 3, 1.

=====

1 | 5
Lattice="-3.800 1.924 2.362 -1.760 -4.469 0.808 2.486 -0.222 4.182" Properties=species:S:1:pos:R:3 comment="TiGa3As PBE optimized geometry" sg="No. 221" magmom_total_mub_per_fu=0.000 pbc="T T T"
As 0.000 0.000 0.000
Ga -0.880 -2.234 0.404
Ga 1.243 -0.111 2.091
Ga -1.900 0.962 1.181
Ti -1.537 -1.384 3.676

=====

2 | 5
Lattice="4.979 0.000 0.000 0.000 4.979 0.000 0.000 0.000 4.979" Properties=species:S:1:pos:R:3 comment="TiGa3As PBE optimized geometry" sg="No. 221" magmom_total_mub_per_fu=0.000 pbc="T T T"
As 2.489 2.489 2.489
Ga 0.000 2.489 0.000
Ga 0.000 0.000 2.489
Ga 2.489 0.000 0.000
Ti 0.000 0.000 0.000

=====

Best to worst by energy: 2, 1.

=====

1 | 8
Lattice="-3.054 -2.056 -5.625 2.901 -6.032 0.630 -4.656 -5.915 0.673" Properties=species:S:1:pos:R:3 comment="Tl2GaAs PBE optimized geometry" sg="No. 122" magmom_total_mub_per_fu=0.000 pbc="T T T"
Tl -2.729 -3.531 -3.304
Tl 0.286 -5.493 -0.106
Tl -3.568 -7.432 -1.372
Tl -3.608 -11.551 -3.862
As 0.000 0.000 0.000
As -3.893 -6.008 -3.725
Ga -0.077 -4.044 -2.497
Ga -0.916 -7.996 -0.597

=====

2 | 4
Lattice="0.000 3.722 3.722 3.722 0.000 3.722 3.722 3.722 0.000" Properties=species:S:1:pos:R:3 comment="Tl2GaAs PBE optimized geometry" sg="No. 225" magmom_total_mub_per_fu=0.000 pbc="T T T"
Tl 1.861 1.861 1.861
Tl 5.584 5.584 5.584
As 3.722 3.722 3.722
Ga 0.000 0.000 0.000

=====

Best to worst by energy: 2, 1.